# 1
Material: RbBa2TmI8
Method: DFT, PBE-GGA
State: relaxed

Unit cell a=7.863 b=7.601 c=10.522 alpha=89.96 beta=89.99 gamma=90.30
Element x y z (fractional)
Rb 0.000 0.000 0.500
Ba 0.500 0.500 0.757
Ba 0.500 0.500 0.243
Tm 0.000 0.000 0.000
I 0.145 0.771 0.205
I 0.677 0.770 0.000
I 0.855 0.228 0.205
I 0.855 0.229 0.795
I 0.323 0.230 0.000
I 0.145 0.772 0.795
I 0.609 0.752 0.500
I 0.391 0.248 0.500

Calculated values
**Formation energy from raw total energies**: -1.557 eV/atom
**Magnetization**: 0.0 μB/f.u.

=====

# 2
Material: RbBaTmI6
Method: DFT, PBE-GGA
State: relaxed

Unit cell a=8.526 b=8.526 c=15.375 alpha=90.00 beta=90.00 gamma=120.00
Element x y z (fractional)
Rb 0.000 0.000 0.000
Rb 0.000 0.000 0.500
Ba 0.333 0.667 0.250
Ba 0.667 0.333 0.750
Tm 0.667 0.333 0.250
Tm 0.333 0.667 0.750
I 0.654 0.613 0.135
I 0.959 0.346 0.135
I 0.346 0.959 0.635
I 0.041 0.654 0.865
I 0.387 0.346 0.365
I 0.959 0.613 0.365
I 0.613 0.959 0.865
I 0.654 0.041 0.365
I 0.041 0.387 0.635
I 0.387 0.041 0.135
I 0.613 0.654 0.635
I 0.346 0.387 0.865

Calculated values
**Formation energy from raw total energies**: -1.537 eV/atom
**Magnetization**: 0.0 μB/f.u.

=====

# 3
Material: RbBaUI6
Method: DFT, PBE-GGA
State: relaxed

Unit cell a=8.614 b=8.614 c=15.693 alpha=90.00 beta=90.00 gamma=120.00
Element x y z (fractional)
Rb 0.000 0.000 0.000
Rb 0.000 0.000 0.500
Ba 0.333 0.667 0.250
Ba 0.667 0.333 0.750
U 0.667 0.333 0.250
U 0.333 0.667 0.750
I 0.651 0.622 0.133
I 0.971 0.349 0.133
I 0.349 0.971 0.633
I 0.029 0.651 0.867
I 0.378 0.349 0.367
I 0.971 0.622 0.367
I 0.622 0.971 0.867
I 0.651 0.029 0.367
I 0.029 0.378 0.633
I 0.378 0.029 0.133
I 0.622 0.651 0.633
I 0.349 0.378 0.867

Calculated values
**Formation energy from raw total energies**: -1.286 eV/atom
**Magnetization**: 3.0 μB/f.u.

=====

# 4
Material: Rb2BaUI8
Method: DFT, PBE-GGA
State: relaxed

Unit cell a=8.286 b=8.031 c=10.229 alpha=90.04 beta=89.94 gamma=92.50
Element x y z (fractional)
Rb 0.500 0.499 0.753
Rb 0.500 0.501 0.247
Ba 0.000 0.000 0.500
U 0.000 0.000 0.000
I 0.125 0.776 0.215
I 0.685 0.804 0.999
I 0.874 0.224 0.214
I 0.875 0.224 0.785
I 0.315 0.196 0.001
I 0.126 0.776 0.786
I 0.662 0.757 0.501
I 0.338 0.243 0.499

Calculated values
**Formation energy from raw total energies**: -1.254 eV/atom
**Magnetization**: 2.0 μB/f.u.